one.
Here is a geometry-optimized Cs2BaHg2 structure from Alexandria via LeMat-Bulk. Energies are from GGA-PBE.

```
Cs2BaHg2
1.0
9.166 0.000 0.000
0.000 9.166 0.000
0.000 0.000 6.201
Cs Ba Hg
4 2 4
direct
0.169 0.331 0.000 Cs
0.331 0.831 0.000 Cs
0.669 0.169 0.000 Cs
0.831 0.669 0.000 Cs
0.000 0.000 0.500 Ba
0.500 0.500 0.500 Ba
0.122 0.622 0.500 Hg
0.378 0.122 0.500 Hg
0.622 0.878 0.500 Hg
0.878 0.378 0.500 Hg
```

Computed properties:
ρ   5.13 g/cm3
Calculated volume   52.10 Å³ per atom
DOS at the Fermi energy   0.5938 states/eV per atom

two.
Here is a geometry-optimized Cs2BaHg2 structure from Alexandria via LeMat-Bulk. Energies are from GGA-PBE.

```
Cs2BaHg2
1.0
-2.764 2.764 8.330
2.764 -2.764 8.330
2.764 2.764 -8.330
Cs Ba Hg
2 1 2
direct
0.250 0.750 0.500 Cs
0.750 0.250 0.500 Cs
0.000 0.000 0.000 Ba
0.412 0.412 0.000 Hg
0.588 0.588 0.000 Hg
```

Computed properties:
ρ   5.25 g/cm3
Calculated volume   50.92 Å³ per atom
DOS at the Fermi energy   0.9015 states/eV per atom

three.
Here is a geometry-optimized Cs2BaHg2 structure from Alexandria via LeMat-Bulk. Energies are from GGA-PBE.

```
Cs2BaHg2
1.0
10.635 0.000 0.000
0.000 10.635 0.000
0.000 0.000 4.268
Cs Ba Hg
4 2 4
direct
0.128 0.372 0.000 Cs
0.372 0.872 0.000 Cs
0.628 0.128 0.000 Cs
0.872 0.628 0.000 Cs
0.000 0.000 0.000 Ba
0.500 0.500 0.000 Ba
0.175 0.675 0.500 Hg
0.325 0.175 0.500 Hg
0.675 0.825 0.500 Hg
0.825 0.325 0.500 Hg
```

Computed properties:
ρ   5.53 g/cm3
Calculated volume   48.27 Å³ per atom
DOS at the Fermi energy   1.5258 states/eV per atom

Most stable structure: one

one.
Here is a geometry-optimized CsKBa2Hg structure from Alexandria via LeMat-Bulk. Energies are from GGA-PBE.

```
CsKBa2Hg
1.0
6.782 0.000 0.000
0.000 6.782 0.000
0.000 0.000 7.463
Cs K Ba Hg
1 1 2 1
direct
0.000 0.000 0.000 Cs
0.500 0.500 0.000 K
0.000 0.500 0.500 Ba
0.500 0.000 0.500 Ba
0.000 0.000 0.500 Hg
```

Computed properties:
ρ   3.13 g/cm3
Calculated volume   68.66 Å³ per atom
DOS at the Fermi energy   0.8758 states/eV per atom

two.
Here is a geometry-optimized CsKBa2Hg structure from Alexandria via LeMat-Bulk. Energies are from GGA-PBE.

```
CsKBa2Hg
1.0
6.777 0.000 0.000
0.000 6.777 0.000
0.000 0.000 7.229
Cs K Ba Hg
1 1 2 1
direct
0.000 0.000 0.000 Cs
0.500 0.500 0.000 K
0.000 0.500 0.500 Ba
0.500 0.000 0.500 Ba
0.500 0.500 0.500 Hg
```

Computed properties:
ρ   3.24 g/cm3
Calculated volume   66.40 Å³ per atom
DOS at the Fermi energy   1.1247 states/eV per atom

Most stable structure: two